# 1
Ce3Ni4Ir4, relaxed, DFT GGA-PBE; space group = I-43m; ΔH_f (0 K) = -24 kJ per mole of atoms
1.0
-5.1913 0.3847 -3.6989
0.2427 -5.7656 2.7347
-0.2752 4.4940 4.5285
Ce Ni Ir
3 4 4
direct
0.5000 0.5000 0.0000
0.5000 0.0000 0.5000
0.0000 0.5000 0.5000
0.0000 0.2321 0.0000
0.0000 0.0000 0.2321
0.2321 0.0000 0.0000
0.7679 0.7679 0.7679
0.0000 0.5949 0.0000
0.5949 0.0000 0.0000
0.0000 0.0000 0.5949
0.4051 0.4051 0.4051

***

# 2
SbSF3, relaxed, DFT GGA-PBE; space group = Pm-3m; relative energy among the computed polymorphs = 292 meV per atom; uncorrected formation energy = -1.17 eV/atom
1.0
-0.9203 -1.4999 -4.1203
3.3004 -3.0087 0.3581
-2.8868 -2.9616 1.7229
Sb S F
1 1 3
direct
0.0000 0.0000 0.0000
0.5000 0.5000 0.5000
0.0000 0.5000 0.0000
0.0000 0.0000 0.5000
0.5000 0.0000 0.0000

***

# 3
In5Pd12Pb2, relaxed, DFT GGA-PBE; space group = C2/m; ΔH_f (0 K) = -26 kJ per mole of atoms
1.0
8.2489 0.0000 0.0000
-4.1245 6.4417 0.7384
0.0000 -1.3860 6.7589
In Pd Pb
5 12 2
direct
0.2364 0.4728 0.5401
0.3191 0.6382 0.1360
0.0000 0.0000 0.5000
0.6809 0.3618 0.8640
0.7636 0.5272 0.4599
0.1093 0.2186 0.1963
0.0910 0.5896 0.8266
0.4986 0.5896 0.8266
0.1692 0.7748 0.4444
0.6056 0.7748 0.4444
0.4717 0.9434 0.7257
0.5283 0.0566 0.2743
0.8308 0.2252 0.5556
0.3944 0.2252 0.5556
0.9090 0.4104 0.1734
0.5014 0.4104 0.1734
0.8907 0.7814 0.8037
0.7549 0.0000 0.0000
0.2451 0.0000 0.0000

***

# 4
CsSc3Cd, relaxed, DFT GGA-PBE; space group = Pm-3m; relative energy among the computed polymorphs = 701 meV per atom; ΔH_f (0 K) = 129 kJ per mole of atoms
1.0
-2.0884 -3.6928 3.1232
4.0979 -3.1579 -0.9937
2.5687 2.0355 4.1244
Cs Sc Cd
1 3 1
direct
0.0000 0.0000 0.0000
0.0000 0.5000 0.0000
0.0000 0.0000 0.5000
0.5000 0.0000 0.0000
0.5000 0.5000 0.5000

***

# 5
Pa3SiGe2, relaxed, DFT GGA-PBE; space group = C2/m; uncorrected formation energy = -0.41 eV/atom
1.0
-4.5171 -4.8349 -2.6510
6.6610 0.4060 -2.5048
1.3028 -2.9565 6.3682
Pa Si Ge
6 2 4
direct
0.5886 0.9220 0.7553
0.0780 0.4114 0.2447
0.9146 0.5846 0.7540
0.2513 0.2479 0.7540
0.4154 0.0854 0.2460
0.7521 0.7487 0.2460
0.0004 0.9996 0.0000
0.6663 0.3337 0.0000
0.8333 0.1667 0.5000
0.3333 0.6667 0.0000
0.1683 0.8317 0.5000
0.4984 0.5016 0.5000

***

# 6
RbNpMnSe3, relaxed, DFT GGA-PBE; space group = P2_1/m; uncorrected formation energy = -1.00 eV/atom
1.0
-0.6057 3.2450 2.6472
-8.3656 1.5911 -3.8645
-0.9932 -6.3985 7.6163
Rb Np Mn Se
2 2 2 6
direct
0.2500 0.2111 0.2430
0.7500 0.7889 0.7570
0.2500 0.6768 0.1510
0.7500 0.3232 0.8490
0.2500 0.0883 0.6089
0.7500 0.9117 0.3911
0.7500 0.8809 0.1347
0.2500 0.1191 0.8653
0.2500 0.7994 0.4620
0.7500 0.2006 0.5380
0.7500 0.4681 0.1529
0.2500 0.5319 0.8471

***

# 7
BPRh3, relaxed, DFT GGA-PBE; space group = Pm-3m; relative energy among the computed polymorphs = 0 meV per atom; ΔH_f (0 K) = 14 kJ per mole of atoms
1.0
-0.2151 0.5851 -4.0385
2.5589 -3.1309 -0.5899
-3.1787 -2.5600 -0.2016
P B Rh
1 1 3
direct
0.5000 0.5000 0.5000
0.0000 0.0000 0.0000
0.0000 0.5000 0.0000
0.0000 0.0000 0.5000
0.5000 0.0000 0.0000

***

# 8
Sm3Y6Ho2Pu, relaxed, DFT GGA-PBE; space group = C2/m; ΔH_f (0 K) = 4 kJ per mole of atoms
1.0
6.1784 -0.0013 -0.0124
-3.0888 5.3508 -0.0124
-1.0086 -1.7463 11.5945
Sm Y Ho Pu
3 6 2 1
direct
0.1672 0.8328 0.5000
0.8328 0.1672 0.5000
0.5000 0.5000 0.5000
0.9181 0.5885 0.7542
0.7523 0.7523 0.2459
0.0819 0.4115 0.2458
0.5885 0.9181 0.7542
0.2477 0.2477 0.7541
0.4115 0.0819 0.2458
0.3334 0.6666 0.0000
0.6666 0.3334 0.0000
0.0000 0.0000 0.0000